No. 1
First-principles (GGA-PBE) data for a relaxed KSiTeN2 crystal, as listed in Alexandria via LeMat-Bulk.

crystal system	tetragonal
ΔE_f (raw)	2.25	eV/atom
SG	P4/mmm (123)

The structure in extended XYZ format:
```
5
Lattice="4.727 0.000 0.000 0.000 4.727 0.000 0.000 0.000 6.668" Properties=species:S:1:pos:R:3 pbc="T T T"
K 0.000 0.000 0.000
Te 0.000 0.000 3.334
Si 2.364 2.364 3.334
N 0.000 2.364 0.000
N 2.364 0.000 0.000
```

No. 2
First-principles (GGA-PBE) data for a relaxed KSiTeN2 crystal, as listed in Alexandria via LeMat-Bulk.

crystal system	tetragonal
ΔE_f (raw)	0.97	eV/atom
SG	P4/mmm (123)

The structure in extended XYZ format:
```
5
Lattice="-2.513 -1.930 -2.599 2.955 -0.023 -2.840 1.741 -4.760 1.851" Properties=species:S:1:pos:R:3 pbc="T T T"
K 1.091 -3.356 -1.794
Te 0.871 -2.380 0.925
Si 0.000 0.000 0.000
N 1.477 -0.012 -1.420
N -1.257 -0.965 -1.300
```

No. 3
First-principles (GGA-PBE) data for a relaxed KSiTe2N crystal, as listed in Alexandria via LeMat-Bulk.

crystal system	tetragonal
ΔE_f (raw)	1.73	eV/atom
SG	P4/mmm (123)

The structure in extended XYZ format:
```
5
Lattice="6.073 0.000 0.000 0.000 6.073 0.000 0.000 0.000 4.783" Properties=species:S:1:pos:R:3 pbc="T T T"
K 0.000 0.000 0.000
Te 0.000 3.036 0.000
Te 3.036 0.000 0.000
Si 3.036 3.036 2.391
N 0.000 0.000 2.391
```